Here is a geometry-optimized RbMg2 structure from Alexandria via LeMat-Bulk. Energies are from PBE.

The total energy is -1.104 eV/atom. The formation enthalpy at 0 K comes out at 0.281 eV per atom. The calculation puts the calculated density at 1.7 g/cm3.

a b c (Å): 4.3119 4.3119 6.9440
angles (deg): 90.00 90.00 90.00
Last column: nearest neighbours and their distance in Å.
Positions (direct):
Rb 0.0000 0.0000 0.0000  8 Mg 4.09, 4 Rb 4.31
Mg 0.0000 0.5000 0.5000  4 Mg 3.05
Mg 0.5000 0.0000 0.5000  4 Mg 3.05